(1)
# PBE-GGA LiRe2Ru, optimized geometry
# - Offset from the most stable computed form: 0.1662 eV per atom
# - Total DFT energy (no corrections): -8.7285 eV per atom
# - Magnetic moment: 0.0 μB/cell
data_LiRe2Ru
_symmetry_space_group_name_H-M 'C 1 2/m 1'
_symmetry_Int_Tables_number 12
_symmetry_space_group_name_Hall '-C 2y'
_cell_length_a 5.1539
_cell_length_b 8.5608
_cell_length_c 2.6685
_cell_angle_alpha 90.00
_cell_angle_beta 106.46
_cell_angle_gamma 90.00
loop_
_atom_site_label
_atom_site_type_symbol
_atom_site_fract_x
_atom_site_fract_y
_atom_site_fract_z
_atom_site_occupancy
Li1 Li 0.0000 0.0000 0.0000 1
Re1 Re 0.2500 0.2500 0.5000 1
Ru1 Ru 0.0000 0.5000 0.0000 1

***

(2)
# PBE-GGA Zr2NiSe, optimized geometry
# - Formation energy without anion corrections: -0.574 eV per atom
# - Total DFT energy (no corrections): -7.1646 eV per atom
# - Magnetic moment: 0.0 μB/cell
data_Zr2NiSe
_symmetry_space_group_name_H-M 'C 1 2/m 1'
_symmetry_Int_Tables_number 12
_symmetry_space_group_name_Hall '-C 2y'
_cell_length_a 6.0218
_cell_length_b 7.2973
_cell_length_c 3.2529
_cell_angle_alpha 90.00
_cell_angle_beta 93.11
_cell_angle_gamma 90.00
loop_
_atom_site_label
_atom_site_type_symbol
_atom_site_fract_x
_atom_site_fract_y
_atom_site_fract_z
_atom_site_occupancy
Zr1 Zr 0.2500 0.2500 0.0000 1
Ni1 Ni 0.0000 0.0000 0.5000 1
Se1 Se 0.0000 0.5000 0.5000 1

***

(3)
# PBE-GGA ZrAg2Pb, optimized geometry
# - Total DFT energy (no corrections): -4.4553 eV per atom
# - Magnetic moment: 0.0 μB/cell
data_ZrAg2Pb
_symmetry_space_group_name_H-M 'P 4 m m'
_symmetry_Int_Tables_number 99
_symmetry_space_group_name_Hall 'P 4 -2'
_cell_length_a 3.3101
_cell_length_b 3.3101
_cell_length_c 7.9135
_cell_angle_alpha 90.00
_cell_angle_beta 90.00
_cell_angle_gamma 90.00
loop_
_atom_site_label
_atom_site_type_symbol
_atom_site_fract_x
_atom_site_fract_y
_atom_site_fract_z
_atom_site_occupancy
Zr1 Zr 0.0000 0.0000 0.0000 1
Ag1 Ag 0.0000 0.0000 0.4406 1
Ag2 Ag 0.5000 0.5000 0.2306 1
Pb1 Pb 0.5000 0.5000 0.7159 1

***

(4)
# PBE-GGA Tl2MoOs, optimized geometry
# - Offset from the most stable computed form: 0.6188 eV per atom
# - Total DFT energy (no corrections): -5.6618 eV per atom
# - Magnetic moment: 0.9 μB/cell
data_Tl2MoOs
_symmetry_space_group_name_H-M 'P m m m'
_symmetry_Int_Tables_number 47
_symmetry_space_group_name_Hall '-P 2 2'
_cell_length_a 3.0838
_cell_length_b 4.7763
_cell_length_c 5.2287
_cell_angle_alpha 90.00
_cell_angle_beta 90.00
_cell_angle_gamma 90.00
loop_
_atom_site_label
_atom_site_type_symbol
_atom_site_fract_x
_atom_site_fract_y
_atom_site_fract_z
_atom_site_occupancy
Tl1 Tl 0.0000 0.0000 0.0000 1
Tl2 Tl 0.5000 0.0000 0.5000 1
Mo1 Mo 0.0000 0.5000 0.5000 1
Os1 Os 0.5000 0.5000 0.0000 1

***

(5)
# PBE-GGA RbBHCl2, optimized geometry
# - Total DFT energy (no corrections): -1.8183 eV per atom
# - Magnetic moment: 1.0 μB/cell
data_RbBHCl2
_symmetry_space_group_name_H-M 'P 4/m m m'
_symmetry_Int_Tables_number 123
_symmetry_space_group_name_Hall '-P 4 2'
_cell_length_a 6.1675
_cell_length_b 6.1675
_cell_length_c 6.3569
_cell_angle_alpha 90.00
_cell_angle_beta 90.00
_cell_angle_gamma 90.00
loop_
_atom_site_label
_atom_site_type_symbol
_atom_site_fract_x
_atom_site_fract_y
_atom_site_fract_z
_atom_site_occupancy
Rb1 Rb 0.0000 0.0000 0.0000 1
B1 B 0.0000 0.0000 0.5000 1
H1 H 0.5000 0.5000 0.5000 1
Cl1 Cl 0.0000 0.5000 0.0000 1

***

(6)
# PBE-GGA PrNdPb, optimized geometry
# - Offset from the most stable computed form: 0.0888 eV per atom
# - Total DFT energy (no corrections): -4.7758 eV per atom
# - Magnetic moment: 0.0 μB/cell
data_PrNdPb
_symmetry_space_group_name_H-M 'I 4 m m'
_symmetry_Int_Tables_number 107
_symmetry_space_group_name_Hall 'I 4 -2'
_cell_length_a 4.2731
_cell_length_b 4.2731
_cell_length_c 10.1968
_cell_angle_alpha 90.00
_cell_angle_beta 90.00
_cell_angle_gamma 90.00
loop_
_atom_site_label
_atom_site_type_symbol
_atom_site_fract_x
_atom_site_fract_y
_atom_site_fract_z
_atom_site_occupancy
Pr1 Pr 0.0000 0.0000 0.0000 1
Nd1 Nd 0.0000 0.0000 0.3120 1
Pb1 Pb 0.0000 0.0000 0.6573 1

***

(7)
# PBE-GGA MoIrRh2, optimized geometry
# - Offset from the most stable computed form: 0.4352 eV per atom
# - Total DFT energy (no corrections): -8.4471 eV per atom
# - Magnetic moment: 0.0 μB/cell
data_MoIrRh2
_symmetry_space_group_name_H-M 'F -4 3 m'
_symmetry_Int_Tables_number 216
_symmetry_space_group_name_Hall 'F -4 2 3'
_cell_length_a 6.2035
_cell_length_b 6.2035
_cell_length_c 6.2035
_cell_angle_alpha 90.00
_cell_angle_beta 90.00
_cell_angle_gamma 90.00
loop_
_atom_site_label
_atom_site_type_symbol
_atom_site_fract_x
_atom_site_fract_y
_atom_site_fract_z
_atom_site_occupancy
Mo1 Mo 0.0000 0.0000 0.0000 1
Ir1 Ir 0.2500 0.2500 0.2500 1
Rh1 Rh 0.0000 0.0000 0.5000 1
Rh2 Rh 0.2500 0.2500 0.7500 1

***

(8)
# PBE-GGA LaRe2As, optimized geometry
# - Total DFT energy (no corrections): -8.3516 eV per atom
# - Magnetic moment: 0.0 μB/cell
data_LaRe2As
_symmetry_space_group_name_H-M 'P 1 2/m 1'
_symmetry_Int_Tables_number 10
_symmetry_space_group_name_Hall '-P 2y'
_cell_length_a 4.3124
_cell_length_b 4.5664
_cell_length_c 4.4069
_cell_angle_alpha 90.00
_cell_angle_beta 95.53
_cell_angle_gamma 90.00
loop_
_atom_site_label
_atom_site_type_symbol
_atom_site_fract_x
_atom_site_fract_y
_atom_site_fract_z
_atom_site_occupancy
La1 La 0.0000 0.0000 0.0000 1
Re1 Re 0.2586 0.5000 0.6377 1
As1 As 0.5000 0.0000 0.5000 1

***

(9)
# PBE-GGA ZrSc2SnO, optimized geometry
# - Formation energy without anion corrections: -1.396 eV per atom
# - Total DFT energy (no corrections): -7.4309 eV per atom
# - Magnetic moment: 0.0 μB/cell
data_ZrSc2SnO
_symmetry_space_group_name_H-M 'P 4/m m m'
_symmetry_Int_Tables_number 123
_symmetry_space_group_name_Hall '-P 4 2'
_cell_length_a 4.3604
_cell_length_b 4.3604
_cell_length_c 4.7290
_cell_angle_alpha 90.00
_cell_angle_beta 90.00
_cell_angle_gamma 90.00
loop_
_atom_site_label
_atom_site_type_symbol
_atom_site_fract_x
_atom_site_fract_y
_atom_site_fract_z
_atom_site_occupancy
Zr1 Zr 0.0000 0.0000 0.0000 1
Sc1 Sc 0.0000 0.5000 0.5000 1
Sn1 Sn 0.5000 0.5000 0.0000 1
O1 O 0.0000 0.0000 0.5000 1

***

(10)
# PBE-GGA Li2FePd4, optimized geometry
# - Offset from the most stable computed form: 0.0104 eV per atom
# - Total DFT energy (no corrections): -4.8499 eV per atom
# - Magnetic moment: 7.7 μB/cell
data_Li2FePd4
_symmetry_space_group_name_H-M 'P 1'
_symmetry_Int_Tables_number 1
_symmetry_space_group_name_Hall 'P 1'
_cell_length_a 5.4302
_cell_length_b 6.5979
_cell_length_c 6.7400
_cell_angle_alpha 82.57
_cell_angle_beta 67.72
_cell_angle_gamma 68.12
loop_
_atom_site_label
_atom_site_type_symbol
_atom_site_fract_x
_atom_site_fract_y
_atom_site_fract_z
_atom_site_occupancy
Li1 Li 0.0000 0.0000 0.0000 1
Li2 Li 0.1194 0.4097 0.4089 1
Li3 Li 0.2945 0.4173 0.8918 1
Li4 Li 0.8205 0.3974 0.9190 1
Fe1 Fe 0.2950 0.8875 0.4206 1
Fe2 Fe 0.8450 0.9031 0.4047 1
Pd1 Pd 0.3493 0.6878 0.0952 1
Pd2 Pd 0.3601 0.0898 0.6898 1
Pd3 Pd 0.4886 0.0713 0.0766 1
Pd4 Pd 0.5757 0.6306 0.6344 1
Pd5 Pd 0.6357 0.3118 0.3273 1
Pd6 Pd 0.8198 0.6521 0.1767 1
Pd7 Pd 0.8286 0.1779 0.6571 1
Pd8 Pd 0.9514 0.7444 0.7486 1

***

(11)
# PBE-GGA Co2TePt, optimized geometry
# - Formation energy without anion corrections: 0.174 eV per atom
# - Total DFT energy (no corrections): -5.6747 eV per atom
# - Magnetic moment: 2.3 μB/cell
data_Co2TePt
_symmetry_space_group_name_H-M 'P m m 2'
_symmetry_Int_Tables_number 25
_symmetry_space_group_name_Hall 'P 2 -2'
_cell_length_a 3.6389
_cell_length_b 3.9857
_cell_length_c 4.0476
_cell_angle_alpha 90.00
_cell_angle_beta 90.00
_cell_angle_gamma 90.00
loop_
_atom_site_label
_atom_site_type_symbol
_atom_site_fract_x
_atom_site_fract_y
_atom_site_fract_z
_atom_site_occupancy
Co1 Co 0.0000 0.0000 0.0000 1
Co2 Co 0.0000 0.5000 0.4268 1
Te1 Te 0.5000 0.0000 0.4528 1
Pt1 Pt 0.5000 0.5000 0.9194 1

***

(12)
# PBE-GGA Tb5Er5Th, optimized geometry
# - Total DFT energy (no corrections): -4.4917 eV per atom
# - Magnetic moment: 0.0 μB/cell
data_Tb5Er5Th
_symmetry_space_group_name_H-M 'P -6 m 2'
_symmetry_Int_Tables_number 187
_symmetry_space_group_name_Hall 'P -6 2'
_cell_length_a 6.0405
_cell_length_b 6.0405
_cell_length_c 11.4231
_cell_angle_alpha 90.00
_cell_angle_beta 90.00
_cell_angle_gamma 120.00
loop_
_atom_site_label
_atom_site_type_symbol
_atom_site_fract_x
_atom_site_fract_y
_atom_site_fract_z
_atom_site_occupancy
Tb1 Tb 0.0000 0.0000 0.2374 1
Tb2 Tb 0.3365 0.1682 0.0000 1
Er1 Er 0.0000 0.0000 0.5000 1
Er2 Er 0.3333 0.6667 0.1729 1
Er3 Er 0.6667 0.3333 0.3462 1
Th1 Th 0.3333 0.6667 0.5000 1

***

(13)
# PBE-GGA TbTh2Ru, optimized geometry
# - Offset from the most stable computed form: 0.0088 eV per atom
# - Total DFT energy (no corrections): -7.4787 eV per atom
# - Magnetic moment: 0.0 μB/cell
data_TbTh2Ru
_symmetry_space_group_name_H-M 'C m c m'
_symmetry_Int_Tables_number 63
_symmetry_space_group_name_Hall '-C 2c 2'
_cell_length_a 3.8499
_cell_length_b 11.7916
_cell_length_c 9.8543
_cell_angle_alpha 90.00
_cell_angle_beta 90.00
_cell_angle_gamma 90.00
loop_
_atom_site_label
_atom_site_type_symbol
_atom_site_fract_x
_atom_site_fract_y
_atom_site_fract_z
_atom_site_occupancy
Tb1 Tb 0.0000 0.0812 0.2500 1
Th1 Th 0.0000 0.3605 0.0638 1
Ru1 Ru 0.0000 0.2052 0.7500 1